1.
# ZrFeCuPb

Crystalline ZrFeCuPb at its relaxed geometry (GGA-PBE, OQMD via LeMat-Bulk).

Calculated values
VASP energy = -5.7730 eV per atom

Structure (CIF):
```
data_ZrFeCuPb
_cell_length_a 6.5804
_cell_length_b 6.5804
_cell_length_c 6.5804
_cell_angle_alpha 90.00
_cell_angle_beta 90.00
_cell_angle_gamma 90.00
_space_group_name_H-M_alt 'F -4 3 m'
_space_group_IT_number 216
_space_group_name_Hall 'F -4 2 3'
loop_
_atom_site_label
_atom_site_type_symbol
_atom_site_fract_x
_atom_site_fract_y
_atom_site_fract_z
Zr1 Zr 0.0000 0.0000 0.0000
Fe1 Fe 0.2500 0.2500 0.7500
Cu1 Cu 0.0000 0.0000 0.5000
Pb1 Pb 0.2500 0.2500 0.2500
```

---

2.
# FeCuPd2

Crystalline FeCuPd2 at its relaxed geometry (GGA-PBE, OQMD via LeMat-Bulk).

Calculated values
E_form = 0.047 eV per atom

Structure (CIF):
```
data_FeCuPd2
_cell_length_a 6.0857
_cell_length_b 6.0857
_cell_length_c 6.0857
_cell_angle_alpha 90.00
_cell_angle_beta 90.00
_cell_angle_gamma 90.00
_space_group_name_H-M_alt 'F -4 3 m'
_space_group_IT_number 216
_space_group_name_Hall 'F -4 2 3'
loop_
_atom_site_label
_atom_site_type_symbol
_atom_site_fract_x
_atom_site_fract_y
_atom_site_fract_z
Fe1 Fe 0.0000 0.0000 0.0000
Cu1 Cu 0.2500 0.2500 0.7500
Pd1 Pd 0.0000 0.0000 0.5000
Pd2 Pd 0.2500 0.2500 0.2500
```

---

3.
# FeCuSbPd

Crystalline FeCuSbPd at its relaxed geometry (GGA-PBE, OQMD via LeMat-Bulk).

Calculated values
VASP energy = -5.3109 eV per atom

Structure (CIF):
```
data_FeCuSbPd
_cell_length_a 6.2491
_cell_length_b 6.2491
_cell_length_c 6.2491
_cell_angle_alpha 90.00
_cell_angle_beta 90.00
_cell_angle_gamma 90.00
_space_group_name_H-M_alt 'F -4 3 m'
_space_group_IT_number 216
_space_group_name_Hall 'F -4 2 3'
loop_
_atom_site_label
_atom_site_type_symbol
_atom_site_fract_x
_atom_site_fract_y
_atom_site_fract_z
Fe1 Fe 0.0000 0.0000 0.0000
Cu1 Cu 0.0000 0.0000 0.5000
Sb1 Sb 0.2500 0.2500 0.2500
Pd1 Pd 0.2500 0.2500 0.7500
```

---

4.
# FeCuSiPd

Crystalline FeCuSiPd at its relaxed geometry (GGA-PBE, OQMD via LeMat-Bulk).

Calculated values
VASP energy = -5.7427 eV per atom

Structure (CIF):
```
data_FeCuSiPd
_cell_length_a 5.8975
_cell_length_b 5.8975
_cell_length_c 5.8975
_cell_angle_alpha 90.00
_cell_angle_beta 90.00
_cell_angle_gamma 90.00
_space_group_name_H-M_alt 'F -4 3 m'
_space_group_IT_number 216
_space_group_name_Hall 'F -4 2 3'
loop_
_atom_site_label
_atom_site_type_symbol
_atom_site_fract_x
_atom_site_fract_y
_atom_site_fract_z
Fe1 Fe 0.0000 0.0000 0.0000
Cu1 Cu 0.0000 0.0000 0.5000
Si1 Si 0.2500 0.2500 0.7500
Pd1 Pd 0.2500 0.2500 0.2500
```

---

5.
# TlFeCuPd

Crystalline TlFeCuPd at its relaxed geometry (GGA-PBE, OQMD via LeMat-Bulk).

Calculated values
VASP energy = -4.6837 eV per atom

Structure (CIF):
```
data_TlFeCuPd
_cell_length_a 6.3032
_cell_length_b 6.3032
_cell_length_c 6.3032
_cell_angle_alpha 90.00
_cell_angle_beta 90.00
_cell_angle_gamma 90.00
_space_group_name_H-M_alt 'F -4 3 m'
_space_group_IT_number 216
_space_group_name_Hall 'F -4 2 3'
loop_
_atom_site_label
_atom_site_type_symbol
_atom_site_fract_x
_atom_site_fract_y
_atom_site_fract_z
Tl1 Tl 0.0000 0.0000 0.0000
Fe1 Fe 0.2500 0.2500 0.7500
Cu1 Cu 0.2500 0.2500 0.2500
Pd1 Pd 0.0000 0.0000 0.5000
```

---

6.
# ZnFeCuPd

Crystalline ZnFeCuPd at its relaxed geometry (GGA-PBE, OQMD via LeMat-Bulk).

Calculated values
E_form = -0.081 eV per atom

Structure (CIF):
```
data_ZnFeCuPd
_cell_length_a 5.9857
_cell_length_b 5.9857
_cell_length_c 5.9857
_cell_angle_alpha 90.00
_cell_angle_beta 90.00
_cell_angle_gamma 90.00
_space_group_name_H-M_alt 'F -4 3 m'
_space_group_IT_number 216
_space_group_name_Hall 'F -4 2 3'
loop_
_atom_site_label
_atom_site_type_symbol
_atom_site_fract_x
_atom_site_fract_y
_atom_site_fract_z
Zn1 Zn 0.0000 0.0000 0.0000
Fe1 Fe 0.0000 0.0000 0.5000
Cu1 Cu 0.2500 0.2500 0.2500
Pd1 Pd 0.2500 0.2500 0.7500
```

---

7.
# Pr6Fe13Cu

Crystalline Pr6Fe13Cu at its relaxed geometry (GGA-PBE, OQMD via LeMat-Bulk).

Calculated values
E_form = 0.016 eV per atom

Structure (CIF):
```
data_Pr6Fe13Cu
_cell_length_a 8.0174
_cell_length_b 8.0174
_cell_length_c 22.8064
_cell_angle_alpha 90.00
_cell_angle_beta 90.00
_cell_angle_gamma 90.00
_space_group_name_H-M_alt 'I 4/m c m'
_space_group_IT_number 140
_space_group_name_Hall '-I 4 2c'
loop_
_atom_site_label
_atom_site_type_symbol
_atom_site_fract_x
_atom_site_fract_y
_atom_site_fract_z
Pr1 Pr 0.0000 0.0000 0.1100
Pr2 Pr 0.1633 0.3367 0.1888
Fe1 Fe 0.0000 0.5000 0.0000
Fe2 Fe 0.0666 0.2092 0.5000
Fe3 Fe 0.1140 0.3860 0.4041
Fe4 Fe 0.1787 0.3213 0.0599
Cu1 Cu 0.0000 0.0000 0.2500
```

---

8.
# Pr4FeCu2

Crystalline Pr4FeCu2 at its relaxed geometry (GGA-PBE, OQMD via LeMat-Bulk).

Calculated values
E_form = 0.064 eV per atom

Structure (CIF):
```
data_Pr4FeCu2
_cell_length_a 7.1771
_cell_length_b 7.1771
_cell_length_c 3.5637
_cell_angle_alpha 90.00
_cell_angle_beta 90.00
_cell_angle_gamma 90.00
_space_group_name_H-M_alt 'P -4 2 m'
_space_group_IT_number 111
loop_
_space_group_symop_operation_xyz
'x,y,z'
'y,-x,-z'
'-x,-y,z'
'-y,x,-z'
'x,-y,-z'
'y,x,z'
'-x,y,-z'
'-y,-x,z'
loop_
_atom_site_label
_atom_site_type_symbol
_atom_site_fract_x
_atom_site_fract_y
_atom_site_fract_z
Pr1 Pr 0.2408 0.2408 0.4675
Fe1 Fe 0.0000 0.0000 0.0000
Cu1 Cu 0.0000 0.5000 0.0000
```

---

9.
# Fe2CuPt

Crystalline Fe2CuPt at its relaxed geometry (GGA-PBE, OQMD via LeMat-Bulk).

Calculated values
E_form = -0.045 eV per atom

Structure (CIF):
```
data_Fe2CuPt
_cell_length_a 5.9092
_cell_length_b 5.9092
_cell_length_c 5.9092
_cell_angle_alpha 90.00
_cell_angle_beta 90.00
_cell_angle_gamma 90.00
_space_group_name_H-M_alt 'F -4 3 m'
_space_group_IT_number 216
_space_group_name_Hall 'F -4 2 3'
loop_
_atom_site_label
_atom_site_type_symbol
_atom_site_fract_x
_atom_site_fract_y
_atom_site_fract_z
Fe1 Fe 0.0000 0.0000 0.0000
Fe2 Fe 0.2500 0.2500 0.2500
Cu1 Cu 0.0000 0.0000 0.5000
Pt1 Pt 0.2500 0.2500 0.7500
```

---

10.
# FeCuSiPt

Crystalline FeCuSiPt at its relaxed geometry (GGA-PBE, OQMD via LeMat-Bulk).

Calculated values
VASP energy = -6.0970 eV per atom

Structure (CIF):
```
data_FeCuSiPt
_cell_length_a 5.8232
_cell_length_b 5.8232
_cell_length_c 5.8232
_cell_angle_alpha 90.00
_cell_angle_beta 90.00
_cell_angle_gamma 90.00
_space_group_name_H-M_alt 'F -4 3 m'
_space_group_IT_number 216
_space_group_name_Hall 'F -4 2 3'
loop_
_atom_site_label
_atom_site_type_symbol
_atom_site_fract_x
_atom_site_fract_y
_atom_site_fract_z
Fe1 Fe 0.0000 0.0000 0.0000
Cu1 Cu 0.2500 0.2500 0.2500
Si1 Si 0.2500 0.2500 0.7500
Pt1 Pt 0.0000 0.0000 0.5000
```

---

11.
# TlFeCuPt

Crystalline TlFeCuPt at its relaxed geometry (GGA-PBE, OQMD via LeMat-Bulk).

Calculated values
VASP energy = -4.9243 eV per atom

Structure (CIF):
```
data_TlFeCuPt
_cell_length_a 6.3065
_cell_length_b 6.3065
_cell_length_c 6.3065
_cell_angle_alpha 90.00
_cell_angle_beta 90.00
_cell_angle_gamma 90.00
_space_group_name_H-M_alt 'F -4 3 m'
_space_group_IT_number 216
_space_group_name_Hall 'F -4 2 3'
loop_
_atom_site_label
_atom_site_type_symbol
_atom_site_fract_x
_atom_site_fract_y
_atom_site_fract_z
Tl1 Tl 0.0000 0.0000 0.0000
Fe1 Fe 0.2500 0.2500 0.7500
Cu1 Cu 0.2500 0.2500 0.2500
Pt1 Pt 0.0000 0.0000 0.5000
```

---

12.
# ZnFeCuPt

Crystalline ZnFeCuPt at its relaxed geometry (GGA-PBE, OQMD via LeMat-Bulk).

Calculated values
E_form = -0.168 eV per atom

Structure (CIF):
```
data_ZnFeCuPt
_cell_length_a 6.0021
_cell_length_b 6.0021
_cell_length_c 6.0021
_cell_angle_alpha 90.00
_cell_angle_beta 90.00
_cell_angle_gamma 90.00
_space_group_name_H-M_alt 'F -4 3 m'
_space_group_IT_number 216
_space_group_name_Hall 'F -4 2 3'
loop_
_atom_site_label
_atom_site_type_symbol
_atom_site_fract_x
_atom_site_fract_y
_atom_site_fract_z
Zn1 Zn 0.0000 0.0000 0.0000
Fe1 Fe 0.0000 0.0000 0.5000
Cu1 Cu 0.2500 0.2500 0.2500
Pt1 Pt 0.2500 0.2500 0.7500
```